Entry 1:
Compound: Tl2CdPb
Source: Alexandria via LeMat-Bulk
Functional: SCAN
Structure: single point on PBEsol structure

Results
Total DFT energy (no corrections) = -62.6585 eV/atom
Density of states at the Fermi level = 3.70 states/eV per cell

a b c (Å): 6.518 10.655 3.309
angles (deg): 90.00 109.18 90.00
Space group C2/m (No. 12)
Asymmetric unit:
1 Tl 0.250 0.250 0.000 [4 per cell]
2 Cd 0.000 0.000 0.500 [2 per cell]
3 Pb 0.000 0.500 0.500 [2 per cell]



Entry 2:
Compound: Tl2CdPb
Source: Alexandria via LeMat-Bulk
Functional: SCAN
Structure: single point on PBEsol structure

Results
Total DFT energy (no corrections) = -62.6853 eV/atom
Density of states at the Fermi level = 5.31 states/eV per cell

a b c (Å): 3.4129 3.4129 31.8624
angles (deg): 90.00 90.00 120.00
Space group R-3m (No. 166, hexagonal axes)
Asymmetric unit:
1 Tl 0.0000 0.0000 0.2452 [6 per cell]
2 Cd 0.0000 0.0000 0.5000 [3 per cell]
3 Pb 0.0000 0.0000 0.0000 [3 per cell]



Entry 3:
Compound: TlCd2Pb
Source: Alexandria via LeMat-Bulk
Functional: SCAN
Structure: single point on PBEsol structure

Results
Total DFT energy (no corrections) = -52.1611 eV/atom
Density of states at the Fermi level = 2.98 states/eV per cell

a b c (Å): 6.956 8.656 3.351
angles (deg): 90.00 90.19 90.00
Space group C2/m (No. 12)
Asymmetric unit:
1 Tl 0.000 0.000 0.000 [2 per cell]
2 Cd 0.250 0.250 0.500 [4 per cell]
3 Pb 0.000 0.500 0.000 [2 per cell]